1.
The following is a PBE calculation of a relaxed MgCdGa crystal, from Alexandria via LeMat-Bulk.

Size of the total moment: 0.00 μB/cell
ΔH_f (0 K): -0.052 eV per atom
Electronic total energy: -1.898 eV per atom
Calculated density: 5.0 g cm⁻³

Lattice parameters (Å, degrees): 6.486 6.486 6.486 90.00 90.00 90.00
Space group F-43m (No. 216)
Asymmetric unit:
1 Mg 0.000 0.000 0.000 (multiplicity 4)
2 Cd 0.000 0.000 0.500 (multiplicity 4)
3 Ga 0.250 0.250 0.750 (multiplicity 4)

---

2.
The following is a PBE calculation of a relaxed Mg2CdGa4 crystal, from Alexandria via LeMat-Bulk.

Size of the total moment: 0.00 μB/cell
ΔH_f (0 K): 0.076 eV per atom
Electronic total energy: -2.240 eV per atom
Calculated density: 4.7 g cm⁻³

Lattice parameters (Å, degrees): 5.442 5.442 10.434 90.00 90.00 90.00
Space group I4/mmm (No. 139)
Asymmetric unit:
1 Mg 0.000 0.000 0.151 (multiplicity 4)
2 Cd 0.000 0.000 0.500 (multiplicity 2)
3 Ga 0.000 0.500 0.000 (multiplicity 4)
4 Ga 0.000 0.500 0.250 (multiplicity 4)